1.
TaCrMo2 PBE relaxed; energy of formation = -0.041 eV per atom; symmetry = Imm2, No. 44; energy above the most stable polymorph in this dataset = 12.9 meV/atom
1.0
5.1905 0.0008 -0.0103
4.2396 2.9945 -0.0103
1.9044 0.6049 3.9664
Ta Mo Cr
1 2 1
Direct
0.5031 0.5031 0.4968 Ta
0.7460 0.7460 0.7540 Mo
0.9969 0.9969 0.0031 Mo
0.2540 0.2540 0.2460 Cr

2.
Ta4CrMo3 PBE relaxed; energy of formation = -0.148 eV per atom; symmetry = P4/mmm, No. 123
1.0
-1.4930 -1.4536 2.4346
2.8355 -0.7855 1.2699
0.0828 10.9527 6.5901
Mo Ta Cr
3 4 1
Direct
0.5000 0.5000 0.2457 Mo
0.5000 0.5000 0.7543 Mo
0.5000 0.5000 0.5000 Mo
0.0000 0.0000 0.3728 Ta
0.0000 0.0000 0.8808 Ta
0.0000 0.0000 0.1192 Ta
0.0000 0.0000 0.6272 Ta
0.5000 0.5000 0.0000 Cr

3.
TaCrMo3 PBE relaxed; energy of formation = 1.074 eV per atom; symmetry = Pm-3m, No. 221; energy above the most stable polymorph in this dataset = 0.0 meV/atom
1.0
-3.7570 -2.0010 -1.3301
-0.7553 -1.3600 4.1795
-2.2809 3.7463 0.8068
Ta Mo Cr
1 3 1
Direct
0.5000 0.5000 0.5000 Ta
0.0000 0.0000 0.5000 Mo
0.5000 0.0000 0.0000 Mo
0.0000 0.5000 0.0000 Mo
0.0000 0.0000 0.0000 Cr

4.
TaCrMo2 PBE relaxed; energy of formation = -0.026 eV per atom; symmetry = P4/mmm, No. 123; energy above the most stable polymorph in this dataset = 27.3 meV/atom
1.0
3.1320 0.0000 0.0000
0.0000 3.1320 0.0000
0.0000 0.0000 6.2872
Mo Ta Cr
2 1 1
Direct
0.0000 0.0000 0.5144 Mo
0.0000 0.0000 0.9856 Mo
0.5000 0.5000 0.2500 Ta
0.5000 0.5000 0.7500 Cr

5.
TaCrMo2 PBE relaxed; energy of formation = 0.227 eV per atom; symmetry = P4/mmm, No. 123; energy above the most stable polymorph in this dataset = 280.6 meV/atom
1.0
4.6296 0.0000 0.0000
0.0000 3.6899 0.0000
0.0000 0.0000 3.6899
Mo Cr Ta
2 1 1
Direct
0.0000 0.5000 0.5000 Mo
0.0000 0.0000 0.0000 Mo
0.5000 0.0000 0.5000 Cr
0.5000 0.5000 0.0000 Ta

6.
Ta6CrMo5 PBE relaxed; energy of formation = -0.162 eV per atom; symmetry = C2/m, No. 12
1.0
4.3603 0.0165 -1.2761
-0.8817 5.6441 -2.9390
-0.0798 0.4259 7.8627
Ta Mo Cr
6 5 1
Direct
0.5000 0.7536 0.0000 Ta
0.1650 0.4133 0.3302 Ta
0.8350 0.0831 0.6698 Ta
0.8350 0.5867 0.6698 Ta
0.1650 0.9169 0.3302 Ta
0.5000 0.2464 0.0000 Ta
0.6653 0.1655 0.3309 Mo
0.3347 0.8345 0.6691 Mo
0.6665 0.6665 0.3330 Mo
0.3335 0.3335 0.6670 Mo
0.0000 0.5000 0.0000 Mo
0.0000 0.0000 0.0000 Cr

7.
TaCr4Mo PBE relaxed; energy of formation = -0.014 eV per atom; symmetry = F-43m, No. 216
1.0
4.8605 0.0000 0.0000
2.4303 4.2093 0.0000
2.4303 1.4031 3.9686
Cr Mo Ta
4 1 1
Direct
0.1251 0.6250 0.6250 Cr
0.6250 0.6250 0.6250 Cr
0.6250 0.6250 0.1251 Cr
0.6250 0.1251 0.6250 Cr
0.2500 0.2500 0.2500 Mo
0.0000 0.0000 0.0000 Ta

8.
TaCrMo PBE relaxed; energy of formation = 0.606 eV per atom; symmetry = F-43m, No. 216; energy above the most stable polymorph in this dataset = 664.7 meV/atom
1.0
-3.6174 1.1474 1.7792
-3.5769 -1.8704 -1.1292
-1.9410 -2.5914 2.6618
Mo Cr Ta
1 1 1
Direct
0.0000 0.0000 0.0000 Mo
0.7500 0.7500 0.7500 Cr
0.5000 0.5000 0.5000 Ta

The DOS at the Fermi energy results, record by record, are as follows: 0.4021, 0.8540, 1.1734, 0.8696, 0.8434, 0.9289, 1.5584, 0.6344 states/eV/atom.